{
  "formula": "Pm4SiH",
  "functional": "PBE",
  "state": "optimized geometry",
  "lattice": [[-1.9255, 3.3327, 0.0069], [-3.5340, 0.1945, -5.7632], [-5.2868, -0.8397, 3.3989]],
  "species": ["Pm", "Pm", "Pm", "Pm", "Si", "H"],
  "fractional_positions": [[0.7159, 0.8548, 0.2106], [0.2860, 0.1398, 0.7856], [0.0734, 0.6701, 0.6796], [0.9295, 0.3244, 0.3165], [0.5012, 0.4973, 0.9982], [0.0017, 0.9973, 0.4983]],
  "n_ef_per_ev_atom": 0.88,
  "total_energy_ev_per_fu": -29.6
}

=====

{
  "formula": "Be2AlB",
  "functional": "PBE",
  "state": "optimized geometry",
  "lattice": [[3.5837, -0.0145, 0.0073], [-1.2150, 4.8465, -0.0215], [-1.1412, -2.2298, 4.7588]],
  "species": ["Be", "Be", "Be", "Be", "B", "B", "Al", "Al"],
  "fractional_positions": [[0.9731, 0.9099, 0.6500], [0.0269, 0.0901, 0.3500], [0.4844, 0.7936, 0.8176], [0.5156, 0.2064, 0.1824], [0.0396, 0.8258, 0.9745], [0.9604, 0.1742, 0.0255], [0.2866, 0.6660, 0.2908], [0.7134, 0.3340, 0.7092]],
  "relative_energy_mev_per_atom": 91,
  "n_ef_per_ev_atom": 0.15,
  "total_energy_ev_per_fu": -17.4
}